<one>
This record from Alexandria describes a relaxed MnNb3Mo crystal. The functional is PBE.

Results
The calculation puts the mass density at 7.58 g/cm3. The value obtained for the density of states at the Fermi level is 9.331 states/eV/f.u.

```
data_MnNb3Mo
_chemical_formula_sum 'Mn1 Nb3 Mo1'
_space_group_name_H-M_alt 'P 1'
_space_group_IT_number 1
_cell_length_a 4.549
_cell_length_b 4.549
_cell_length_c 4.549
_cell_angle_alpha 90.00
_cell_angle_beta 90.00
_cell_angle_gamma 90.00
loop_
_space_group_symop_operation_xyz
'x,y,z'
loop_
_atom_site_label
_atom_site_fract_x
_atom_site_fract_y
_atom_site_fract_z
_atom_site_occupancy
Mn1 0.000 0.000 0.000 1
Mo1 0.500 0.500 0.500 1
Nb1 0.000 0.000 0.500 1
Nb2 0.500 0.000 0.000 1
Nb3 0.000 0.500 0.000 1
```

***

<two>
This record from Alexandria describes a relaxed MnNb3Mo crystal. The functional is PBE.

Results
The calculation puts the mass density at 7.45 g/cm3. The value obtained for the density of states at the Fermi level is 6.012 states/eV/f.u.

```
data_MnNb3Mo
_chemical_formula_sum 'Mn2 Nb6 Mo2'
_space_group_name_H-M_alt 'P 1'
_space_group_IT_number 1
_cell_length_a 5.866
_cell_length_b 5.866
_cell_length_c 7.266
_cell_angle_alpha 66.19
_cell_angle_beta 66.19
_cell_angle_gamma 60.00
loop_
_space_group_symop_operation_xyz
'x,y,z'
loop_
_atom_site_label
_atom_site_fract_x
_atom_site_fract_y
_atom_site_fract_z
_atom_site_occupancy
Mn1 0.334 0.334 0.997 1
Mo1 0.133 0.133 0.602 1
Nb1 0.595 0.097 0.713 1
Nb2 0.405 0.405 0.287 1
Mn2 0.666 0.666 0.003 1
Nb3 0.903 0.405 0.287 1
Nb4 0.097 0.595 0.713 1
Mo2 0.867 0.867 0.398 1
Nb5 0.595 0.595 0.713 1
Nb6 0.405 0.903 0.287 1
```

***

Stability verdict: <two>, ahead by 293 meV per atom